Version a
Entry from Alexandria: a relaxed LiMgTi crystal (PBE-GGA).

a = 3.830 Å, b = 3.830 Å, c = 7.689 Å
α = 90.00°, β = 90.00°, γ = 90.00°
Positions (direct):
Li (0.250, 0.250, 0.188)
Li (0.750, 0.750, 0.812)
Mg (0.250, 0.250, 0.821)
Mg (0.750, 0.750, 0.179)
Ti (0.250, 0.750, 0.500)
Ti (0.750, 0.250, 0.500)


Version b
Entry from Alexandria: a relaxed LiMgTi crystal (PBE-GGA).

a = 2.959 Å, b = 2.959 Å, c = 13.126 Å
α = 90.07°, β = 90.07°, γ = 86.76°
Positions (direct):
Li (0.000, 0.000, 0.000)
Li (0.502, 0.502, 0.841)
Mg (0.000, 0.000, 0.674)
Mg (0.498, 0.498, 0.168)
Ti (0.499, 0.499, 0.492)
Ti (0.999, 0.999, 0.350)


version b has the most favorable energy; the next structure is 239 meV/atom above.


Version a
Entry from Alexandria: a relaxed LiMgTi3 crystal (PBE-GGA).

a = 4.526 Å, b = 4.526 Å, c = 4.526 Å
α = 90.00°, β = 90.00°, γ = 90.00°
Positions (direct):
Li (0.000, 0.000, 0.000)
Mg (0.500, 0.500, 0.500)
Ti (0.000, 0.000, 0.500)
Ti (0.000, 0.500, 0.000)
Ti (0.500, 0.000, 0.000)


Version b
Entry from Alexandria: a relaxed LiMgTi3 crystal (PBE-GGA).

a = 4.881 Å, b = 4.881 Å, c = 4.881 Å
α = 90.00°, β = 90.00°, γ = 90.00°
Positions (direct):
Li (0.000, 0.000, 0.000)
Mg (0.500, 0.500, 0.500)
Ti (0.000, 0.500, 0.500)
Ti (0.500, 0.000, 0.500)
Ti (0.500, 0.500, 0.000)


version a has the most favorable energy; the next structure is 530 meV/atom above.


Version a
Entry from Alexandria: a relaxed LiMg6Tl3 crystal (PBE-GGA).

a = 8.522 Å, b = 5.174 Å, c = 11.301 Å
α = 90.00°, β = 111.29°, γ = 90.00°
Positions (direct):
Li (0.059, 0.250, 0.373)
Li (0.941, 0.750, 0.627)
Mg (0.040, 0.750, 0.927)
Mg (0.125, 0.750, 0.224)
Mg (0.161, 0.250, 0.668)
Mg (0.257, 0.250, 0.968)
Mg (0.338, 0.750, 0.817)
Mg (0.465, 0.250, 0.576)
Mg (0.535, 0.750, 0.424)
Mg (0.662, 0.250, 0.183)
Mg (0.743, 0.750, 0.032)
Mg (0.839, 0.750, 0.332)
Mg (0.875, 0.250, 0.776)
Mg (0.960, 0.250, 0.073)
Tl (0.220, 0.750, 0.521)
Tl (0.341, 0.250, 0.276)
Tl (0.433, 0.750, 0.116)
Tl (0.567, 0.250, 0.884)
Tl (0.659, 0.750, 0.724)
Tl (0.780, 0.250, 0.479)


Version b
Entry from Alexandria: a relaxed LiMg6Tl3 crystal (PBE-GGA).

a = 9.972 Å, b = 9.972 Å, c = 5.454 Å
α = 90.00°, β = 90.00°, γ = 117.94°
Positions (direct):
Li (0.221, 0.779, 0.500)
Li (0.779, 0.221, 0.000)
Mg (0.039, 0.443, 0.302)
Mg (0.063, 0.937, 0.783)
Mg (0.296, 0.704, 0.003)
Mg (0.303, 0.375, 0.137)
Mg (0.375, 0.303, 0.637)
Mg (0.443, 0.039, 0.802)
Mg (0.557, 0.961, 0.302)
Mg (0.625, 0.697, 0.137)
Mg (0.697, 0.625, 0.637)
Mg (0.704, 0.296, 0.503)
Mg (0.937, 0.063, 0.283)
Mg (0.961, 0.557, 0.802)
Tl (0.057, 0.278, 0.766)
Tl (0.278, 0.057, 0.266)
Tl (0.385, 0.615, 0.531)
Tl (0.615, 0.385, 0.031)
Tl (0.722, 0.943, 0.766)
Tl (0.943, 0.722, 0.266)


version a has the most favorable energy; the next structure is 61 meV/atom above.